CsNp2Ni2S6: optimized geometry, GGA-PBE.

Properties
Crystal system   triclinic
Total DFT energy (no corrections)   -72.8 eV per formula unit
Total magnetization   0.268 μB per atom
DOS at the Fermi energy   17.14 states/eV/cell
Energy relative to the elements, uncorrected   -883 meV per atom

Lattice parameters (Å, degrees): 7.1509 7.2963 7.3602 63.49 61.83 61.87
Closest atoms and distances in Å follow each position.
Element x y z (fractional)
Cs 0.0000 0.0000 0.0000  6 S 3.50-3.62
Np 0.3327 0.3301 0.0040  6 S 2.64-2.70
Np 0.6673 0.6699 0.9960  6 S 2.64-2.70
Ni 0.3472 0.6735 0.5509  3 S 2.15-2.18
Ni 0.6528 0.3265 0.4491  3 S 2.15-2.18
S 0.0884 0.5203 0.7435  1 Ni 2.18
S 0.3520 0.9267 0.2512  1 Ni 2.15
S 0.4889 0.3563 0.2490  1 Ni 2.17
S 0.5111 0.6437 0.7510  1 Ni 2.17
S 0.6480 0.0733 0.7488  1 Ni 2.15
S 0.9116 0.4797 0.2565  1 Ni 2.18

---

CsNp2NiS4: optimized geometry, GGA-PBE.

Properties
Crystal system   orthorhombic
Total DFT energy (no corrections)   -58.9 eV per formula unit
Total magnetization   0.875 μB per atom
DOS at the Fermi energy   35.81 states/eV/cell
Energy relative to the elements, uncorrected   -1234 meV per atom

Lattice parameters (Å, degrees): 7.3245 7.3245 13.5573 90.00 90.00 148.62
Closest atoms and distances in Å follow each position.
Element x y z (fractional)
Cs 0.0997 0.9003 0.7500  8 S 3.33-3.67
Cs 0.9003 0.0997 0.2500  8 S 3.33-3.67
Np 0.3657 0.6343 0.5590  6 S 2.66-2.86
Np 0.3657 0.6343 0.9410  6 S 2.66-2.86
Np 0.6343 0.3657 0.0590  6 S 2.66-2.86
Np 0.6343 0.3657 0.4410  6 S 2.66-2.86
Ni 0.1721 0.8279 0.2500  4 S 2.26-2.29
Ni 0.8279 0.1721 0.7500  4 S 2.26-2.29
S 0.0000 0.0000 0.0000  4 Np 2.86
S 0.0000 0.0000 0.5000  4 Np 2.86
S 0.2558 0.7442 0.1078  1 Ni 2.26
S 0.2558 0.7442 0.3922  1 Ni 2.26
S 0.4097 0.5903 0.7500  2 Ni 2.29
S 0.5903 0.4097 0.2500  2 Ni 2.29
S 0.7442 0.2558 0.6078  1 Ni 2.26
S 0.7442 0.2558 0.8922  1 Ni 2.26

---

CsNp2NiSe4: optimized geometry, GGA-PBE.

Properties
Crystal system   orthorhombic
Total DFT energy (no corrections)   -54.8 eV per formula unit
Total magnetization   0.874 μB per atom
DOS at the Fermi energy   42.96 states/eV/cell
Energy relative to the elements, uncorrected   -1039 meV per atom

Lattice parameters (Å, degrees): 7.6631 7.6631 14.2450 90.00 90.00 148.77
Closest atoms and distances in Å follow each position.
Element x y z (fractional)
Cs 0.1019 0.8981 0.7500  6 Se 3.44-3.54
Cs 0.8981 0.1019 0.2500  6 Se 3.44-3.54
Np 0.3659 0.6341 0.5601  6 Se 2.80-2.98
Np 0.3659 0.6341 0.9399  6 Se 2.80-2.98
Np 0.6341 0.3659 0.0601  6 Se 2.80-2.98
Np 0.6341 0.3659 0.4399  6 Se 2.80-2.98
Ni 0.1691 0.8309 0.2500  4 Se 2.40-2.41
Ni 0.8309 0.1691 0.7500  4 Se 2.40-2.41
Se 0.0000 0.0000 0.0000  4 Np 2.98
Se 0.0000 0.0000 0.5000  4 Np 2.98
Se 0.2584 0.7416 0.1093  1 Ni 2.40
Se 0.2584 0.7416 0.3907  1 Ni 2.40
Se 0.4155 0.5845 0.7500  2 Ni 2.41
Se 0.5845 0.4155 0.2500  2 Ni 2.41
Se 0.7416 0.2584 0.6093  1 Ni 2.40
Se 0.7416 0.2584 0.8907  1 Ni 2.40